(1)
PBE Cu3Pt, relaxed; size of the total moment = 0.000 Bohr magnetons per cell; formation energy = -0.105 eV/atom; E_tot = -4.6869 eV/atom
1.0
2.7597 0.0000 0.0000
0.0000 4.2887 0.0000
0.0000 0.0000 4.4172
Cu Pt
3 1
direct
0.0000 0.0000 0.9839
0.5000 0.0000 0.4898
0.5000 0.5000 0.8464
0.0000 0.5000 0.3466


(2)
PBE Sr2PmTlSe4, relaxed; size of the total moment = 0.000 Bohr magnetons per cell; energy relative to the elements, uncorrected = -159.9 kJ per mole of atoms; E_tot = -4.7101 eV/atom
1.0
-3.5106 1.5018 -2.2220
-2.4968 -7.0350 -0.8100
-4.6044 -1.7505 6.0915
Sr Pm Tl Se
2 1 1 4
direct
0.0000 0.0000 0.0000
0.5000 0.0000 0.5000
0.0000 0.5000 0.5000
0.5000 0.5000 0.0000
0.0000 0.7502 0.7262
0.0000 0.2499 0.2738
0.5000 0.7395 0.2691
0.5000 0.2605 0.7309


(3)
PBE Hf3TlSb, relaxed; size of the total moment = 0.000 Bohr magnetons per cell; energy relative to the elements, uncorrected = 84.5 kJ per mole of atoms; energy relative to the lowest polymorph listed for this composition = 0.00 eV/f.u.; E_tot = -6.3936 eV/atom
1.0
5.2481 0.0000 0.0000
0.0000 5.2481 0.0000
0.0000 0.0000 5.2481
Sb Tl Hf
1 1 3
direct
0.0000 0.0000 0.0000
0.5000 0.5000 0.5000
0.0000 0.5000 0.0000
0.0000 0.0000 0.5000
0.5000 0.0000 0.0000


(4)
PBE Pr4PdSe2Cl, relaxed; size of the total moment = 0.000 Bohr magnetons per cell; energy relative to the elements, uncorrected = -140.9 kJ per mole of atoms; E_tot = -5.6012 eV/atom
1.0
-1.9099 -3.6512 0.3625
6.5371 -3.3420 0.7804
-2.5258 1.9937 6.7718
Pr Pd Se Cl
4 1 2 1
direct
0.5000 0.2561 0.2575
0.5000 0.7439 0.7425
0.0000 0.2615 0.7579
0.0000 0.7385 0.2421
0.5000 0.5000 0.0000
0.5000 0.0000 0.5000
0.0000 0.5000 0.5000
0.0000 0.0000 0.0000


(5)
PBE Er2Al3Co, relaxed; size of the total moment = 0.000 Bohr magnetons per cell; energy relative to the lowest polymorph listed for this composition = 0.19 eV/f.u.; formation energy = -0.465 eV/atom; E_tot = -5.0414 eV/atom
1.0
-1.2692 3.1593 4.1029
-5.1484 0.6835 1.2054
-1.9027 -2.2304 4.4531
Er Al Co
2 3 1
direct
0.6263 0.6263 0.6263
0.3737 0.3737 0.3737
0.0000 0.5000 0.0000
0.5000 0.0000 0.0000
0.0000 0.0000 0.5000
0.0000 0.0000 0.0000


(6)
PBE CaH2PdF8, relaxed; size of the total moment = 0.000 Bohr magnetons per cell; E_tot = -4.4243 eV/atom
1.0
5.0543 0.7749 0.1243
0.8306 5.0495 0.1079
0.2068 0.2084 6.7094
Ca H Pd F
1 2 1 8
direct
0.0000 0.0000 0.5000
0.2700 0.2685 0.7339
0.7300 0.7315 0.2661
0.0000 0.0000 0.0000
0.2337 0.8018 0.2150
0.7651 0.7665 0.0600
0.8027 0.2344 0.2158
0.7663 0.1982 0.7850
0.2349 0.2335 0.9400
0.1973 0.7656 0.7842
0.7290 0.7308 0.4179
0.2710 0.2692 0.5821


(7)
PBE SrOsRu, relaxed; size of the total moment = 0.000 Bohr magnetons per cell; energy relative to the lowest polymorph listed for this composition = 0.33 eV/f.u.; formation energy = 0.367 eV/atom; E_tot = -7.0292 eV/atom
1.0
4.1362 0.0000 0.0000
-2.0681 3.5820 0.0000
0.0000 0.0000 4.9912
Os Ru Sr
1 1 1
direct
0.0000 0.0000 0.1667
0.6667 0.3333 0.1667
0.3333 0.6667 0.6667


(8)
PBE La2ZrCo, relaxed; size of the total moment = 0.454 Bohr magnetons per cell; energy relative to the lowest polymorph listed for this composition = 1.45 eV/f.u.; formation energy = 0.370 eV/atom; E_tot = -6.0075 eV/atom
1.0
6.0600 -0.0302 0.0000
3.0146 5.2570 0.0000
-4.5373 -2.6134 3.0508
Co La Zr
1 2 1
direct
0.7500 0.2500 0.5000
0.0000 0.0000 0.0000
0.2500 0.7500 0.5000
0.5000 0.5000 0.0000


(9)
PBE Pa2AlTe6, relaxed; size of the total moment = 2.215 Bohr magnetons per cell; energy relative to the elements, uncorrected = -63.1 kJ per mole of atoms; E_tot = -5.2748 eV/atom
1.0
-0.1955 -6.3671 2.9041
7.1341 -1.5078 -2.8255
4.0016 3.5301 8.2199
Pa Al Te
4 2 12
direct
0.9473 0.3600 0.7462
0.5527 0.8600 0.7538
0.4473 0.1400 0.2462
0.0527 0.6400 0.2538
0.5000 0.5000 0.0000
0.0000 0.0000 0.5000
0.8492 0.9752 0.2421
0.8403 0.6727 0.5573
0.8481 0.6698 0.9387
0.6519 0.1698 0.5613
0.6597 0.1727 0.9427
0.6508 0.4752 0.2579
0.1508 0.0248 0.7579
0.1597 0.3273 0.4427
0.1519 0.3302 0.0613
0.3481 0.8302 0.4387
0.3403 0.8273 0.0573
0.3492 0.5248 0.7421


(10)
PBE AgPb, relaxed; size of the total moment = 0.000 Bohr magnetons per cell; formation energy = 0.158 eV/atom; E_tot = -3.1219 eV/atom
1.0
3.4114 0.0000 0.0000
-1.7057 2.9543 0.0000
0.0000 0.0000 4.9130
Pb Ag
1 1
direct
0.3333 0.6667 0.0000
0.6667 0.3333 0.5000


(11)
PBE Li2ZrIn, relaxed; size of the total moment = 0.000 Bohr magnetons per cell; formation energy = 0.049 eV/atom; E_tot = -3.7291 eV/atom
1.0
-2.1194 -4.2653 -1.7422
-0.2344 -5.0536 0.3556
-4.4024 -0.1812 3.8875
In Li Zr
1 2 1
direct
0.7459 0.7459 0.7649
0.0067 0.0067 0.0016
0.2539 0.2539 0.2216
0.4935 0.4935 0.5119


(12)
PBE SrAl2ZnNi, relaxed; size of the total moment = 0.000 Bohr magnetons per cell; formation energy = -0.250 eV/atom; E_tot = -3.4947 eV/atom
1.0
-0.2660 -4.3417 1.5471
3.9665 -1.0049 -2.1380
2.4216 1.2441 3.9078
Sr Zn Al Ni
1 1 2 1
direct
0.5000 0.5000 0.5000
0.0000 0.0000 0.5000
0.0000 0.5000 0.0000
0.5000 0.0000 0.0000
0.0000 0.0000 0.0000